i.
A relaxed structure of ZrCoNO. Source: OQMD via LeMat-Bulk, functional GGA+U.

Results
ρ ... 6.87 Mg/m³
Total moment ... 1.9 μB per formula unit
SG ... No. 129

Cell and atoms, written as POSCAR:
```
ZrCoNO
1.0
4.495 0.000 0.000
0.000 4.495 0.000
0.000 0.000 4.309
Zr Co N O
2 2 2 2
Direct
0.250 0.750 0.000
0.750 0.250 0.000
0.250 0.250 0.492
0.750 0.750 0.508
0.250 0.250 0.994
0.750 0.750 0.006
0.250 0.750 0.500
0.750 0.250 0.500
```



ii.
A relaxed structure of ZrCoNO. Source: OQMD via LeMat-Bulk, functional GGA+U.

Results
ρ ... 6.82 Mg/m³
Total moment ... 2.2 μB per formula unit
SG ... No. 99

Cell and atoms, written as POSCAR:
```
ZrCoNO
1.0
4.513 0.000 0.000
0.000 4.513 0.000
0.000 0.000 4.307
Zr Co N O
2 2 2 2
Direct
0.000 0.500 0.000
0.500 0.000 0.000
0.000 0.000 0.488
0.500 0.500 0.517
0.000 0.000 0.989
0.500 0.500 0.014
0.000 0.500 0.501
0.500 0.000 0.501
```



Which of them is most stable, and which least? Most stable: ii; least stable: i.



i.
A relaxed structure of ZrCoNO. Source: OQMD via LeMat-Bulk, functional GGA+U.

Results
ρ ... 6.02 Mg/m³
Total moment ... 2.0 μB per formula unit
SG ... No. 26

Cell and atoms, written as POSCAR:
```
ZrCoNO
1.0
3.716 0.000 0.000
0.000 5.834 0.000
0.000 0.000 4.584
Zr Co N O
2 2 2 2
Direct
0.000 0.188 0.000
0.000 0.812 0.500
0.500 0.263 0.552
0.500 0.737 0.052
0.000 0.170 0.495
0.000 0.830 0.995
0.500 0.354 0.006
0.500 0.646 0.506
```



ii.
A relaxed structure of ZrCoNO. Source: OQMD via LeMat-Bulk, functional GGA+U.

Results
ρ ... 6.87 Mg/m³
Total moment ... 2.0 μB per formula unit
SG ... No. 29

Cell and atoms, written as POSCAR:
```
ZrCoNO
1.0
5.845 0.000 0.000
0.000 5.654 0.000
0.000 0.000 5.269
Zr Co N O
4 4 4 4
Direct
0.100 0.236 0.000
0.400 0.236 0.500
0.600 0.764 0.000
0.900 0.764 0.500
0.109 0.768 0.998
0.391 0.768 0.498
0.609 0.232 0.998
0.891 0.232 0.498
0.144 0.996 0.319
0.356 0.996 0.819
0.644 0.004 0.319
0.856 0.004 0.819
0.137 0.478 0.347
0.363 0.478 0.847
0.637 0.522 0.347
0.863 0.522 0.847
```



iii.
A relaxed structure of ZrCoNO. Source: OQMD via LeMat-Bulk, functional GGA+U.

Results
ρ ... 7.08 Mg/m³
Total moment ... 2.0 μB per formula unit
SG ... No. 129

Cell and atoms, written as POSCAR:
```
ZrCoNO
1.0
3.371 0.000 0.000
0.000 3.371 0.000
0.000 0.000 7.440
Zr Co N O
2 2 2 2
Direct
0.250 0.250 0.176
0.750 0.750 0.824
0.250 0.750 0.500
0.750 0.250 0.500
0.250 0.250 0.682
0.750 0.750 0.318
0.250 0.750 0.000
0.750 0.250 0.000
```



Which of them is most stable, and which least? Most stable: i; least stable: iii.